Material: La5TbDy2
Method: DFT, PBE
State: optimized geometry

Cell and atoms, written as extended XYZ:
```
16
Lattice="-5.0151 1.2857 2.3462 0.0117 -5.4878 -3.8531 3.8023 -9.2618 13.2028" Properties=species:S:1:pos:R:3 pbc="T T T"
La -2.3675 -8.9752 6.7429
La -1.7183 -1.9858 4.3006
La -1.7205 -4.2011 -1.3755
La -0.0181 -1.6035 0.8400
La -0.2129 -7.8734 3.8594
La 1.1664 -4.4888 4.9530
La -0.9882 -5.5906 7.8365
La 0.5194 -9.2629 13.0714
La -1.1830 -11.8605 10.8559
La 0.5172 -11.4782 7.3953
Dy -3.3581 -3.2726 1.5006
Dy 1.2905 -8.0807 7.1865
Dy -2.4916 -5.3833 4.5094
Dy 2.1569 -10.1914 10.1953
Tb -0.3102 -4.7629 1.9469
Tb -0.8909 -8.7011 9.7490
```

Output
- electronic total energy (eV/atom) = -4.69
- crystal system = orthorhombic
- ΔH_f (0 K) (eV/atom) = 0.1145
- V (Å³ per atom) = 35.8

=====

Material: LaTb7Dy4
Method: DFT, PBE
State: optimized geometry

Cell and atoms, written as extended XYZ:
```
12
Lattice="-2.7234 4.0586 -3.3358 -11.0936 -0.4713 3.2349 -0.3707 6.1973 2.5941" Properties=species:S:1:pos:R:3 pbc="T T T"
Tb -1.6293 3.9243 0.8562
Tb -7.3079 3.8107 0.1054
Tb -12.5584 5.8602 1.6370
Tb -6.5726 8.4987 -0.0398
Tb -7.6151 1.2859 2.5329
Tb -1.3617 2.0293 -1.6679
Tb -6.8799 5.9739 2.3878
La 0.0000 0.0000 0.0000
Dy -4.4037 5.6411 -0.0386
Dy -4.2497 1.9809 0.6310
Dy -9.9380 7.8036 1.8621
Dy -9.7840 4.1434 2.5317
```

Output
- electronic total energy (eV/atom) = -4.38
- crystal system = monoclinic
- ΔH_f (0 K) (eV/atom) = 0.2615
- V (Å³ per atom) = 33.3
- polymorph energy (0 for the lowest one) (eV/atom) = 0.261

=====

Material: LaTb3Dy5
Method: DFT, PBE
State: optimized geometry

Cell and atoms, written as extended XYZ:
```
18
Lattice="9.0264 1.3392 0.9644 3.7591 8.3150 0.9644 5.1330 3.8759 10.0603" Properties=species:S:1:pos:R:3 pbc="T T T"
Tb 10.5093 7.9355 3.3602
Tb 0.0000 0.0000 0.0000
Tb 12.9089 9.7474 8.5344
Tb 2.5665 1.9380 5.0302
Tb 7.4091 5.5946 8.6289
Tb 5.0096 3.7827 3.4547
Dy 7.7463 5.8492 4.9022
Dy 5.4321 6.0993 0.9644
Dy 10.1721 7.6809 7.0869
Dy 7.0628 8.8284 2.9222
Dy 7.4938 9.1539 9.0668
Dy 9.4374 7.1261 10.4305
Dy 10.8557 4.7016 9.0668
Dy 7.3534 3.5549 0.9644
Dy 8.4811 6.4040 1.5585
Dy 10.4247 4.3762 2.9222
La 12.7992 9.6646 5.2405
La 5.1192 3.8655 6.7486
```

Output
- electronic total energy (eV/atom) = -4.19
- crystal system = monoclinic
- ΔH_f (0 K) (eV/atom) = 0.4536
- V (Å³ per atom) = 36.1
- polymorph energy (0 for the lowest one) (eV/atom) = 0.130

=====

Q: Which value of V does entry 2 give?
A: 33.3 Å³ per atom